# 1
First-principles (PBE) data for a relaxed structure of AcHf2As4Pd, as listed in Alexandria.

Cell lengths 7.0217, 7.0217, 13.6495 Å; angles 90.00, 90.00, 147.11 degrees
With the nearest neighbours (Å) after each atom.
Fractional positions:
Ac1 0.1268 0.8732 0.7500  6 As 3.05-3.18
Ac2 0.8732 0.1268 0.2500  6 As 3.05-3.18
Hf1 0.3745 0.6255 0.5673  6 As 2.72-2.77
Hf2 0.3745 0.6255 0.9327  6 As 2.72-2.77
Hf3 0.6255 0.3745 0.0673  6 As 2.72-2.77
Hf4 0.6255 0.3745 0.4327  6 As 2.72-2.77
As1 0.0000 0.0000 0.0000  4 Hf 2.77
As2 0.0000 0.0000 0.5000  4 Hf 2.77
As3 0.2641 0.7359 0.1035  1 Pd 2.52, 3 Hf 2.77
As4 0.2641 0.7359 0.3965  1 Pd 2.52, 3 Hf 2.77
As5 0.4548 0.5452 0.7500  2 Pd 2.44, 2 Hf 2.72
As6 0.5452 0.4548 0.2500  2 Pd 2.44, 2 Hf 2.72
As7 0.7359 0.2641 0.6035  1 Pd 2.52, 3 Hf 2.77
As8 0.7359 0.2641 0.8965  1 Pd 2.52, 3 Hf 2.77
Pd1 0.1508 0.8492 0.2500  4 As 2.44-2.52
Pd2 0.8492 0.1508 0.7500  4 As 2.44-2.52

VASP energy = -6.90 eV per atom
Density of states at the Fermi level = 5.0 states/eV per cell
Formation energy from the elements = -0.9251 eV/atom
Magnetization = 0.00 Bohr magnetons per cell

# 2
First-principles (PBE) data for a relaxed structure of Ac2HfAs3Rh12, as listed in Alexandria.

Cell lengths 7.6371, 7.6371, 7.6371 Å; angles 66.21, 66.21, 66.21 degrees
With the nearest neighbours (Å) after each atom.
Fractional positions:
Ac1 0.1072 0.1072 0.1072  6 Rh 2.86-2.92
Ac2 0.8928 0.8928 0.8928  6 Rh 2.86-2.92
Hf1 0.5000 0.5000 0.5000  6 Rh 2.55
As1 0.0000 0.5000 0.5000  6 Rh 2.37-2.39
As2 0.5000 0.0000 0.5000  6 Rh 2.37-2.39
As3 0.5000 0.5000 0.0000  6 Rh 2.37-2.39
Rh1 0.1228 0.6383 0.6383  1 As 2.37, 1 Hf 2.55
Rh2 0.1458 0.1458 0.6007  2 As 2.39
Rh3 0.1458 0.6007 0.1458  2 As 2.39
Rh4 0.3617 0.3617 0.8772  1 As 2.37, 1 Hf 2.55
Rh5 0.3617 0.8772 0.3617  1 As 2.37, 1 Hf 2.55
Rh6 0.3993 0.8542 0.8542  2 As 2.39
Rh7 0.6007 0.1458 0.1458  2 As 2.39
Rh8 0.6383 0.1228 0.6383  1 As 2.37, 1 Hf 2.55
Rh9 0.6383 0.6383 0.1228  1 As 2.37, 1 Hf 2.55
Rh10 0.8542 0.3993 0.8542  2 As 2.39
Rh11 0.8542 0.8542 0.3993  2 As 2.39
Rh12 0.8772 0.3617 0.3617  1 As 2.37, 1 Hf 2.55

VASP energy = -6.80 eV per atom
Density of states at the Fermi level = 10.2 states/eV per cell
Formation energy from the elements = -0.1139 eV/atom
Magnetization = 0.00 Bohr magnetons per cell

# 3
First-principles (PBE) data for a relaxed structure of AcHfAsS2, as listed in Alexandria.

Cell lengths 8.5324, 8.5324, 7.5382 Å; angles 90.00, 90.00, 152.38 degrees
With the nearest neighbours (Å) after each atom.
Fractional positions:
Ac1 0.2002 0.7998 0.7500  6 S 2.95-3.01, 1 As 3.27
Ac2 0.7998 0.2002 0.2500  6 S 2.95-3.01, 1 As 3.27
Hf1 0.5000 0.5000 0.0000  2 S 2.54, 4 As 2.78
Hf2 0.5000 0.5000 0.5000  2 S 2.54, 4 As 2.78
As1 0.0030 0.9970 0.7500  4 Hf 2.78
As2 0.9970 0.0030 0.2500  4 Hf 2.78
S1 0.3469 0.6531 0.5136  1 Hf 2.54
S2 0.3469 0.6531 0.9864  1 Hf 2.54
S3 0.6531 0.3469 0.0136  1 Hf 2.54
S4 0.6531 0.3469 0.4864  1 Hf 2.54

Formation energy without anion corrections = -1.572 eV per atom
VASP energy = -6.97 eV per atom
Density of states at the Fermi level = 0.1 states/eV per cell
Magnetization = 0.00 Bohr magnetons per cell

# 4
First-principles (PBE) data for a relaxed structure of Ac3HgAs, as listed in Alexandria.

Cell lengths 5.9591, 5.9591, 5.9591 Å; angles 90.00, 90.00, 90.00 degrees
With the nearest neighbours (Å) after each atom.
Fractional positions:
Ac1 0.0000 0.0000 0.5000  2 As 2.98
Ac2 0.0000 0.5000 0.0000  2 As 2.98
Ac3 0.5000 0.0000 0.0000  2 As 2.98
Hg1 0.5000 0.5000 0.5000  12 Ac 4.21
As1 0.0000 0.0000 0.0000  6 Ac 2.98

VASP energy = -3.82 eV per atom
Density of states at the Fermi level = 7.8 states/eV per cell
Formation energy from the elements = -0.3653 eV/atom
Magnetization = 0.00 Bohr magnetons per cell

# 5
First-principles (PBE) data for a relaxed structure of AcHg2As, as listed in Alexandria.

Cell lengths 6.1282, 6.1282, 6.1282 Å; angles 46.96, 46.96, 46.96 degrees
With the nearest neighbours (Å) after each atom.
Fractional positions:
Ac1 0.0000 0.0000 0.0000  6 Hg 3.27
Hg1 0.2315 0.2315 0.2315  3 As 3.01, 3 Ac 3.27
Hg2 0.7685 0.7685 0.7685  3 As 3.01, 3 Ac 3.27
As1 0.5000 0.5000 0.5000  6 Hg 3.01

VASP energy = -2.75 eV per atom
Density of states at the Fermi level = 1.2 states/eV per cell
Formation energy from the elements = -0.4071 eV/atom
Magnetization = 0.00 Bohr magnetons per cell

# 6
First-principles (PBE) data for a relaxed structure of AcHg2As, as listed in Alexandria.

Cell lengths 4.5046, 4.5046, 5.5355 Å; angles 90.00, 90.00, 90.00 degrees
With the nearest neighbours (Å) after each atom.
Fractional positions:
Ac1 0.0000 0.0000 0.0000  4 As 3.19
Hg1 0.0000 0.5000 0.5000  4 Hg 3.19
Hg2 0.5000 0.0000 0.5000  4 Hg 3.19
As1 0.5000 0.5000 0.0000  4 Ac 3.19

VASP energy = -2.95 eV per atom
Density of states at the Fermi level = 1.3 states/eV per cell
Formation energy from the elements = -0.6046 eV/atom
Magnetization = 0.00 Bohr magnetons per cell

# 7
First-principles (PBE) data for a relaxed structure of AcHg4As, as listed in Alexandria.

Cell lengths 6.1237, 6.1237, 6.1237 Å; angles 60.00, 60.00, 60.00 degrees
With the nearest neighbours (Å) after each atom.
Fractional positions:
Ac1 0.0000 0.0000 0.0000  12 Hg 3.59, 4 As 3.75
Hg1 0.1289 0.6237 0.6237  6 Hg 3.03-3.09
Hg2 0.6237 0.1289 0.6237  6 Hg 3.03-3.09
Hg3 0.6237 0.6237 0.1289  6 Hg 3.03-3.09
Hg4 0.6237 0.6237 0.6237  6 Hg 3.03-3.09
As1 0.2500 0.2500 0.2500  12 Hg 3.59, 4 Ac 3.75

VASP energy = -1.80 eV per atom
Density of states at the Fermi level = 2.9 states/eV per cell
Formation energy from the elements = -0.1411 eV/atom
Magnetization = 0.00 Bohr magnetons per cell

# 8
First-principles (PBE) data for a relaxed structure of Ac4Hg2As, as listed in Alexandria.

Cell lengths 8.9984, 8.9984, 8.9984 Å; angles 141.14, 141.14, 56.12 degrees
With the nearest neighbours (Å) after each atom.
Fractional positions:
Ac1 0.0000 0.5000 0.5000  2 As 2.99
Ac2 0.1938 0.1938 0.0000  1 As 3.08, 1 Hg 3.18
Ac3 0.5000 0.0000 0.5000  2 As 2.99
Ac4 0.8062 0.8062 0.0000  1 As 3.08, 1 Hg 3.18
Hg1 0.3942 0.3942 0.0000  5 Ac 3.18-3.43, 1 Hg 3.36
Hg2 0.6058 0.6058 0.0000  5 Ac 3.18-3.43, 1 Hg 3.36
As1 0.0000 0.0000 0.0000  6 Ac 2.99-3.08

VASP energy = -3.56 eV per atom
Density of states at the Fermi level = 7.8 states/eV per cell
Formation energy from the elements = -0.4656 eV/atom
Magnetization = 0.00 Bohr magnetons per cell

# 9
First-principles (PBE) data for a relaxed structure of AcInHgAs, as listed in Alexandria.

Cell lengths 5.4014, 5.4014, 5.4014 Å; angles 60.00, 60.00, 60.00 degrees
With the nearest neighbours (Å) after each atom.
Fractional positions:
Ac1 0.0000 0.0000 0.0000  4 Hg 3.31, 4 As 3.31
In1 0.5000 0.5000 0.5000  4 Hg 3.31, 4 As 3.31
Hg1 0.7500 0.7500 0.7500  4 In 3.31, 4 Ac 3.31
As1 0.2500 0.2500 0.2500  4 In 3.31, 4 Ac 3.31

VASP energy = -3.43 eV per atom
Density of states at the Fermi level = 3.1 states/eV per cell
Formation energy from the elements = -0.4826 eV/atom
Magnetization = 0.00 Bohr magnetons per cell

# 10
First-principles (PBE) data for a relaxed structure of KAcHgAs, as listed in Alexandria.

Cell lengths 5.5767, 5.5767, 5.5767 Å; angles 60.00, 60.00, 60.00 degrees
With the nearest neighbours (Å) after each atom.
Fractional positions:
K1 0.0000 0.0000 0.0000  4 Hg 3.42, 4 As 3.42
Ac1 0.5000 0.5000 0.5000  4 Hg 3.42, 4 As 3.42
Hg1 0.7500 0.7500 0.7500  4 Ac 3.42, 4 K 3.42
As1 0.2500 0.2500 0.2500  4 Ac 3.42, 4 K 3.42

VASP energy = -3.04 eV per atom
Density of states at the Fermi level = 2.7 states/eV per cell
Formation energy from the elements = -0.5054 eV/atom
Magnetization = 0.00 Bohr magnetons per cell

# 11
First-principles (PBE) data for a relaxed structure of LiAcHgAs, as listed in Alexandria.

Cell lengths 5.2921, 5.2921, 5.2921 Å; angles 60.00, 60.00, 60.00 degrees
With the nearest neighbours (Å) after each atom.
Fractional positions:
Li1 0.0000 0.0000 0.0000  4 Hg 3.24, 4 As 3.24
Ac1 0.5000 0.5000 0.5000  4 Hg 3.24, 4 As 3.24
Hg1 0.2500 0.2500 0.2500  4 Ac 3.24, 4 Li 3.24
As1 0.7500 0.7500 0.7500  4 Ac 3.24, 4 Li 3.24

VASP energy = -3.36 eV per atom
Density of states at the Fermi level = 2.6 states/eV per cell
Formation energy from the elements = -0.6159 eV/atom
Magnetization = 0.00 Bohr magnetons per cell

# 12
First-principles (PBE) data for a relaxed structure of Ac4Hg2AsN2, as listed in Alexandria.

Cell lengths 8.9623, 8.9623, 7.9972 Å; angles 111.27, 111.27, 27.79 degrees
With the nearest neighbours (Å) after each atom.
Fractional positions:
Ac1 0.0410 0.0410 0.2686  1 N 2.33
Ac2 0.2889 0.2889 0.3468  3 N 2.48-2.54
Ac3 0.7111 0.7111 0.6532  3 N 2.48-2.54
Ac4 0.9590 0.9590 0.7314  1 N 2.33
Hg1 0.3735 0.3735 0.9853  7 Ac 3.64-3.75, 1 As 3.88, 2 N 4.05
Hg2 0.6265 0.6265 0.0147  7 Ac 3.64-3.75, 1 As 3.88, 2 N 4.05
As1 0.5000 0.5000 0.5000  6 Ac 3.09-3.41
N1 0.1781 0.1781 0.4725  4 Ac 2.33-2.54
N2 0.8219 0.8219 0.5275  4 Ac 2.33-2.54

Formation energy without anion corrections = -0.949 eV per atom
VASP energy = -5.21 eV per atom
Density of states at the Fermi level = 3.1 states/eV per cell
Magnetization = 0.00 Bohr magnetons per cell